Record 1
Hg3W2 | PBE-GGA | relaxed

Summary:
Uncorrected energy = -4.4058 eV/atom
Symmetry = Fdd2 (43)
Total moment = 0.000 μB/cell
D(E_F) = 0.56 states/eV/atom
Formation energy = 0.9565 eV/atom

Unit cell a=9.207 b=7.855 c=5.907 alpha=82.67 beta=57.81 gamma=39.52
Positions (direct):
Hg (0.343, 0.157, 0.157)
Hg (0.748, 0.457, 0.359)
Hg (0.793, 0.502, 0.814)
Hg (0.891, 0.814, 0.502)
Hg (0.093, 0.907, 0.907)
Hg (0.436, 0.359, 0.457)
W (0.555, 0.367, 0.910)
W (0.169, 0.910, 0.367)
W (0.883, 0.695, 0.081)
W (0.340, 0.081, 0.695)

Record 2
Hg2W | PBE-GGA | relaxed

Summary:
Uncorrected energy = -3.7253 eV/atom
Symmetry = I4/mmm (139)
Total moment = 0.000 μB/cell
D(E_F) = 0.54 states/eV/atom
Formation energy = 0.7936 eV/atom

Unit cell a=7.316 b=7.316 c=7.316 alpha=157.19 beta=157.19 gamma=32.47
Positions (direct):
Hg (0.676, 0.676, 0.000)
Hg (0.991, 0.991, 0.000)
W (0.333, 0.333, 0.000)

Record 3
HgW2 | PBE-GGA | relaxed

Summary:
Uncorrected energy = -8.0839 eV/atom
Symmetry = P-3m1 (164)
Total moment = 0.000 μB/cell
D(E_F) = 0.36 states/eV/atom
Formation energy = 0.6522 eV/atom

Unit cell a=4.654 b=4.654 c=2.791 alpha=90.00 beta=90.00 gamma=120.00
Positions (direct):
W (0.333, 0.667, 0.628)
W (0.667, 0.333, 0.372)
Hg (0.000, 0.000, 0.000)

Record 4
HgW3 | PBE-GGA | relaxed

Summary:
Uncorrected energy = -9.2200 eV/atom
Symmetry = P2/m (10)
Total moment = 0.000 μB/cell
D(E_F) = 0.46 states/eV/atom
Formation energy = 0.5704 eV/atom

Unit cell a=2.778 b=4.410 c=5.909 alpha=90.00 beta=72.13 gamma=90.00
Positions (direct):
W (0.284, 0.500, 0.272)
W (0.716, 0.500, 0.728)
W (0.500, 0.000, 0.500)
Hg (0.000, 0.000, 0.000)